Record 1
Below is an optimized crystal structure of Al2WCl, with properties calculated at the GGA-PBE level.

abc: 2.7896 4.9948 5.0356
angles: 90.00 90.08 90.00
Closest atoms and distances in Å follow each position.
Space group Pm (No. 6)
Asymmetric unit:
Al (0.0000, 0.0000, 0.0000) x1  2 Cl 2.42-2.61
Al (0.0000, 0.5000, 0.4433) x1  2 Cl 2.50, 2 Al 2.79
W (0.4999, 0.5000, 0.9503) x1  2 W 2.79, 8 Al 2.85-2.91
Cl (0.0042, 0.0000, 0.4811) x1  4 Al 2.42-2.61

Calculated values
E above lowest polymorph = 254 meV/atom
Total magnetic moment = 0.86 μB per formula unit
Calculated density = 6467 kg/m3
ΔE_f (raw) = 0.12 eV/atom
D(E_F) = 2.03 states/eV/cell

=====

Record 2
Below is an optimized crystal structure of LiCaErRu, with properties calculated at the GGA-PBE level.

abc: 6.9751 6.9751 6.9751
angles: 90.00 90.00 90.00
Closest atoms and distances in Å follow each position.
Space group F-43m (No. 216)
Asymmetric unit:
Li (0.0000, 0.0000, 0.0000) x4  4 Er 3.02, 4 Ca 3.02
Ca (0.2500, 0.2500, 0.2500) x4  4 Li 3.02, 4 Ru 3.02
Er (0.2500, 0.2500, 0.7500) x4  4 Li 3.02, 4 Ru 3.02
Ru (0.0000, 0.0000, 0.5000) x4  4 Er 3.02, 4 Ca 3.02

Calculated values
Total magnetic moment = 0.00 μB per formula unit
Calculated density = 6172 kg/m3
Energy of formation from the pure elements = -64 meV per atom
D(E_F) = 7.37 states/eV/cell

=====

Record 3
Below is an optimized crystal structure of La2SmEr5, with properties calculated at the GGA-PBE level.

abc: 7.3153 11.5025 12.5183
angles: 90.00 90.00 90.00
Closest atoms and distances in Å follow each position.
Space group Fmm2 (No. 42)
Asymmetric unit:
La (0.0000, 0.2475, 0.0000) x8  9 Er 3.53-3.65, 1 Sm 3.61, 2 La 3.66
Sm (0.0000, 0.0000, 0.6711) x4  10 Er 3.56-3.66, 2 La 3.61
Er (0.0000, 0.0000, 0.1712) x4  8 Er 3.56-3.65, 2 La 3.56, 2 Sm 3.66
Er (0.2492, 0.0000, 0.4190) x8  4 La 3.53-3.58, 6 Er 3.55-3.67, 2 Sm 3.61-3.64
Er (0.2500, 0.2500, 0.2523) x8  6 Er 3.55-3.66, 2 Sm 3.56, 4 La 3.60-3.65

Calculated values
E above lowest polymorph = 0 meV/atom
Total magnetic moment = 0.00 μB per formula unit
Calculated density = 7973 kg/m3
Energy of formation from the pure elements = 30 meV per atom
D(E_F) = 57.13 states/eV/cell

=====

Record 4
Below is an optimized crystal structure of AlReMo2, with properties calculated at the GGA-PBE level.

abc: 2.7141 4.4042 5.2164
angles: 90.00 101.11 90.00
Closest atoms and distances in Å follow each position.
Space group Pm (No. 6)
Asymmetric unit:
Al (0.0000, 0.0000, 0.0000) x1  6 Mo 2.69-3.00, 2 Re 2.71, 2 Al 2.71
Re (0.2529, 0.5000, 0.7528) x1  4 Mo 2.58-2.82, 2 Al 2.71, 2 Re 2.71
Mo (0.4785, 0.0000, 0.5032) x1  2 Re 2.69, 2 Al 2.69-2.70, 4 Mo 2.71-2.72
Mo (0.6882, 0.5000, 0.2382) x1  2 Re 2.58-2.82, 4 Mo 2.71-2.72, 2 Al 2.74

Calculated values
Total magnetic moment = 0.00 μB per formula unit
Calculated density = 10993 kg/m3
Energy of formation from the pure elements = -81 meV per atom
D(E_F) = 2.28 states/eV/cell

=====

Record 5
Below is an optimized crystal structure of Sc2InSe, with properties calculated at the GGA-PBE level.

abc: 6.3553 7.8235 3.4653
angles: 90.00 90.00 90.00
Closest atoms and distances in Å follow each position.
Space group Cmmm (No. 65)
Asymmetric unit:
Sc (0.2500, 0.2500, 0.0000) x4  4 In 3.06, 4 Se 3.06, 2 Sc 3.18
In (0.0000, 0.0000, 0.5000) x2  8 Sc 3.06, 2 Se 3.18
Se (0.0000, 0.5000, 0.5000) x2  8 Sc 3.06, 2 In 3.18

Calculated values
E above lowest polymorph = 330 meV/atom
Total magnetic moment = 0.01 μB per formula unit
Calculated density = 5468 kg/m3
ΔE_f (raw) = -0.66 eV/atom
D(E_F) = 8.16 states/eV/cell

=====

Record 6
Below is an optimized crystal structure of Li2TcPt, with properties calculated at the GGA-PBE level.

abc: 2.5923 2.5923 8.4669
angles: 90.00 90.00 90.00
Closest atoms and distances in Å follow each position.
Space group P4/mmm (No. 123)
Asymmetric unit:
Li (0.0000, 0.0000, 0.2340) x2  4 Li 2.59, 4 Pt 2.70
Tc (0.5000, 0.5000, 0.5000) x1  4 Tc 2.59
Pt (0.5000, 0.5000, 0.0000) x1  4 Pt 2.59, 8 Li 2.70

Calculated values
E above lowest polymorph = 40 meV/atom
Total magnetic moment = 0.00 μB per formula unit
Calculated density = 8959 kg/m3
Energy of formation from the pure elements = -87 meV per atom
D(E_F) = 1.72 states/eV/cell

=====

Record 7
Below is an optimized crystal structure of InCoSb2Te, with properties calculated at the GGA-PBE level.

abc: 4.7866 4.7866 5.3680
angles: 90.00 90.00 90.00
Closest atoms and distances in Å follow each position.
Space group P4/mmm (No. 123)
Asymmetric unit:
In (0.0000, 0.0000, 0.0000) x1  4 Te 3.38, 8 Sb 3.60
Co (0.5000, 0.5000, 0.5000) x1  4 Sb 2.39
Sb (0.0000, 0.5000, 0.5000) x2  2 Co 2.39
Te (0.5000, 0.5000, 0.0000) x1  2 Co 2.68

Calculated values
E above lowest polymorph = 139 meV/atom
Total magnetic moment = 0.00 μB per formula unit
Calculated density = 7357 kg/m3
ΔE_f (raw) = 0.28 eV/atom
D(E_F) = 4.87 states/eV/cell

=====

Record 8
Below is an optimized crystal structure of SrGaHg, with properties calculated at the GGA-PBE level.

abc: 4.6415 4.2931 8.4562
angles: 90.00 90.00 90.00
Closest atoms and distances in Å follow each position.
Space group Pmma (No. 51)
Asymmetric unit:
Sr (0.2500, 0.0000, 0.2404) x2  6 Ga 3.41-3.46, 6 Hg 3.43-3.73
Ga (0.2500, 0.5000, 0.9265) x2  2 Ga 2.63, 1 Hg 2.75
Hg (0.2500, 0.5000, 0.6010) x2  1 Ga 2.75, 2 Hg 2.88

Calculated values
E above lowest polymorph = 21 meV/atom
Total magnetic moment = 0.00 μB per formula unit
Calculated density = 7055 kg/m3
Energy of formation from the pure elements = -465 meV per atom
D(E_F) = 2.74 states/eV/cell

=====

Record 9
Below is an optimized crystal structure of LiAc2Zn4Pt3, with properties calculated at the GGA-PBE level.

abc: 4.3892 4.3892 10.7354
angles: 90.00 90.00 90.00
Closest atoms and distances in Å follow each position.
Space group P-4m2 (No. 115)
Asymmetric unit:
Li (0.0000, 0.0000, 0.0000) x1  4 Zn 2.56
Ac (0.0000, 0.5000, 0.7462) x2  6 Pt 3.32-3.50, 8 Zn 3.41-3.44, 2 Li 3.50
Zn (0.0000, 0.0000, 0.5000) x1  4 Pt 2.64
Zn (0.0000, 0.5000, 0.1222) x2  3 Pt 2.56-2.58, 2 Li 2.56
Zn (0.5000, 0.5000, 0.5000) x1  4 Pt 2.64
Pt (0.0000, 0.5000, 0.3628) x2  5 Zn 2.58-2.64
Pt (0.5000, 0.5000, 0.0000) x1  4 Zn 2.56

Calculated values
Total magnetic moment = 0.00 μB per formula unit
Calculated density = 10500 kg/m3
Energy of formation from the pure elements = -698 meV per atom
D(E_F) = 5.59 states/eV/cell

=====

Record 10
Below is an optimized crystal structure of AcLaNi2H6, with properties calculated at the GGA-PBE level.

abc: 4.7655 4.7655 19.8749
angles: 90.00 90.00 120.00
Closest atoms and distances in Å follow each position.
Space group R-3m (No. 166, hexagonal axes)
Asymmetric unit:
Ac (0.0000, 0.0000, 0.0000) x3  12 H 2.72
La (0.0000, 0.0000, 0.5000) x3  6 H 2.36
Ni (0.0000, 0.0000, 0.2467) x6  3 H 1.56
H (0.0312, 0.5156, 0.0656) x18  1 Ni 1.56

Calculated values
Total magnetic moment = 0.00 μB per formula unit
Raw total energy = -132.7 eV per cell
Calculated density = 6236 kg/m3
D(E_F) = 10.24 states/eV/cell

=====

Record 11
Below is an optimized crystal structure of TbCe2Co, with properties calculated at the GGA-PBE level.

abc: 6.7977 9.4354 6.0918
angles: 90.00 90.00 90.00
Closest atoms and distances in Å follow each position.
Space group Pnma (No. 62)
Asymmetric unit:
Tb (0.0540, 0.2500, 0.1271) x4  2 Co 2.84-3.17
Ce (0.1553, 0.0624, 0.6374) x8  1 Co 2.45
Co (0.0923, 0.7500, 0.3789) x4  2 Ce 2.45

Calculated values
E above lowest polymorph = 0 meV/atom
Total magnetic moment = 0.00 μB per formula unit
Calculated density = 8467 kg/m3
Energy of formation from the pure elements = -128 meV per atom
D(E_F) = 32.03 states/eV/cell

=====

Record 12
Below is an optimized crystal structure of AcPr2Au, with properties calculated at the GGA-PBE level.

abc: 7.4261 10.7531 6.8058
angles: 90.00 90.00 90.00
Closest atoms and distances in Å follow each position.
Space group Pnma (No. 62)
Asymmetric unit:
Ac (0.0198, 0.2500, 0.1369) x4  2 Au 3.19-3.24
Pr (0.1879, 0.0519, 0.6683) x8  2 Au 3.09
Au (0.1055, 0.7500, 0.4074) x4  4 Pr 3.09, 2 Ac 3.19-3.24

Calculated values
E above lowest polymorph = 0 meV/atom
Total magnetic moment = 0.00 μB per formula unit
Calculated density = 8626 kg/m3
Energy of formation from the pure elements = -386 meV per atom
D(E_F) = 16.73 states/eV/cell